Lu2Ti12Cu9O36: relaxed, PBEsol.

E = -8.04 eV/atom
Mass density = 5.81 g cm⁻³

Unit cell a=6.365 b=10.369 c=10.369 alpha=120.00 beta=90.00 gamma=90.00
Each line ends with the local moment (μB).
Positions (direct):
Lu 0.171 0.667 0.333  -0.01
Lu 0.829 0.333 0.667  -0.01
Ti 0.000 0.000 0.500  0.08
Ti 0.662 0.680 0.842  0.07
Ti 0.338 0.320 0.158  0.07
Ti 0.000 0.000 0.000  0.08
Ti 0.659 0.667 0.333  0.07
Ti 0.341 0.333 0.667  0.07
Ti 0.662 0.162 0.320  0.07
Ti 0.338 0.838 0.680  0.07
Ti 0.000 0.500 0.000  0.08
Ti 0.338 0.842 0.162  0.07
Ti 0.000 0.500 0.500  0.08
Ti 0.662 0.158 0.838  0.07
Cu 0.159 0.662 0.831  0.54
Cu 0.841 0.338 0.169  0.54
Cu 0.500 0.000 0.500  0.54
Cu 0.841 0.831 0.169  0.54
Cu 0.500 0.500 0.500  0.54
Cu 0.159 0.169 0.831  0.54
Cu 0.159 0.169 0.338  0.54
Cu 0.841 0.831 0.662  0.54
Cu 0.500 0.500 0.000  0.54
O 0.408 0.729 0.954  0.06
O 0.088 0.414 0.293  0.08
O 0.749 0.077 0.625  0.08
O 0.520 0.193 0.510  0.07
O 0.169 0.850 0.835  0.06
O 0.857 0.528 0.178  0.08
O 0.143 0.472 0.822  0.08
O 0.831 0.150 0.165  0.06
O 0.480 0.807 0.490  0.07
O 0.251 0.923 0.375  0.08
O 0.912 0.586 0.707  0.08
O 0.592 0.271 0.046  0.06
O 0.592 0.954 0.225  0.06
O 0.251 0.625 0.548  0.08
O 0.912 0.293 0.879  0.08
O 0.831 0.835 0.985  0.06
O 0.480 0.510 0.318  0.07
O 0.143 0.178 0.650  0.08
O 0.857 0.822 0.350  0.08
O 0.520 0.490 0.682  0.07
O 0.169 0.165 0.015  0.06
O 0.088 0.707 0.121  0.08
O 0.749 0.375 0.452  0.08
O 0.408 0.046 0.775  0.06
O 0.169 0.985 0.150  0.06
O 0.857 0.650 0.472  0.08
O 0.520 0.318 0.807  0.07
O 0.749 0.548 0.923  0.08
O 0.408 0.225 0.271  0.06
O 0.088 0.879 0.586  0.08
O 0.912 0.121 0.414  0.08
O 0.592 0.775 0.729  0.06
O 0.251 0.452 0.077  0.08
O 0.480 0.682 0.193  0.07
O 0.143 0.350 0.528  0.08
O 0.831 0.015 0.850  0.06